1.
Nd3GdDy2CoTe2 after structural relaxation, computed with PBE.

V ... 27.9 A^3/atom
Electronic total energy ... -5.320 eV/atom

Unit cell a=4.005 b=8.506 c=8.506 alpha=119.99 beta=90.00 gamma=90.00
Atoms (fractional coordinates):
Nd 0.500 0.000 0.596
Nd 0.500 0.596 0.000
Nd 0.500 0.404 0.404
Gd 0.000 0.767 0.767
Te 0.000 0.667 0.333
Te 0.000 0.333 0.667
Dy 0.000 0.233 0.000
Dy 0.000 0.000 0.233
Co 0.500 0.000 0.000

2.
Nd3Gd2DyCoTe2 after structural relaxation, computed with PBE.

V ... 27.9 A^3/atom
Electronic total energy ... -5.323 eV/atom

Unit cell a=4.002 b=8.513 c=8.513 alpha=120.01 beta=90.00 gamma=90.00
Atoms (fractional coordinates):
Nd 0.500 0.595 0.000
Nd 0.500 0.000 0.595
Nd 0.500 0.405 0.405
Gd 0.000 0.233 0.000
Gd 0.000 0.000 0.233
Te 0.000 0.667 0.334
Te 0.000 0.334 0.667
Co 0.500 0.999 0.999
Dy 0.000 0.767 0.767

3.
GdDyCo2Pb after structural relaxation, computed with PBE.

V ... 21.2 A^3/atom
Electronic total energy ... -5.769 eV/atom

Unit cell a=3.861 b=7.364 c=7.364 alpha=30.41 beta=90.00 gamma=90.00
Atoms (fractional coordinates):
Gd 0.000 0.639 0.639
Co 0.500 0.794 0.794
Co 0.500 0.208 0.208
Pb 0.500 0.999 0.999
Dy 0.000 0.360 0.360

4.
Gd2Dy3YCoS2 after structural relaxation, computed with PBE.

V ... 22.9 A^3/atom
Electronic total energy ... -5.760 eV/atom

Unit cell a=3.784 b=7.927 c=7.927 alpha=119.93 beta=90.00 gamma=90.00
Atoms (fractional coordinates):
Dy 0.000 0.755 0.001
Dy 0.000 0.244 0.244
Dy 0.000 0.001 0.755
Co 0.500 0.997 0.997
S 0.000 0.334 0.666
S 0.000 0.666 0.334
Gd 0.500 0.417 0.000
Gd 0.500 0.000 0.417
Y 0.500 0.587 0.587

5.
Gd2Dy3YCoSe2 after structural relaxation, computed with PBE.

V ... 24.5 A^3/atom
Electronic total energy ... -5.621 eV/atom

Unit cell a=3.839 b=8.133 c=8.133 alpha=119.92 beta=90.00 gamma=90.00
Atoms (fractional coordinates):
Gd 0.500 0.000 0.411
Gd 0.500 0.411 0.000
Dy 0.000 0.240 0.240
Dy 0.000 0.001 0.759
Dy 0.000 0.759 0.001
Y 0.500 0.592 0.592
Se 0.000 0.666 0.334
Se 0.000 0.334 0.666
Co 0.500 0.997 0.997

6.
GdDyCo2Si2 after structural relaxation, computed with PBE.

V ... 17.6 A^3/atom
Electronic total energy ... -6.459 eV/atom

Unit cell a=3.958 b=3.958 c=6.736 alpha=90.00 beta=90.00 gamma=90.00
Atoms (fractional coordinates):
Co 0.000 0.500 0.001
Co 0.500 0.000 0.001
Si 0.000 0.000 0.818
Si 0.500 0.500 0.185
Gd 0.500 0.500 0.681
Dy 0.000 0.000 0.314

7.
GdDy2Co4Si4 after structural relaxation, computed with PBE.

V ... 16.4 A^3/atom
Electronic total energy ... -6.542 eV/atom

Unit cell a=12.012 b=12.012 c=12.012 alpha=161.27 beta=161.09 gamma=26.74
Atoms (fractional coordinates):
Dy 0.353 0.853 0.500
Dy 0.647 0.147 0.500
Co 0.900 0.400 0.500
Co 0.250 0.250 0.000
Co 0.100 0.600 0.500
Co 0.750 0.750 0.000
Si 0.801 0.301 0.500
Si 0.449 0.449 0.000
Si 0.199 0.699 0.500
Si 0.551 0.551 0.000
Gd 0.000 0.000 0.000

8.
Sm3GdDy2CoTe2 after structural relaxation, computed with PBE.

V ... 27.3 A^3/atom
Electronic total energy ... -5.294 eV/atom

Unit cell a=3.977 b=8.452 c=8.452 alpha=120.00 beta=90.00 gamma=90.00
Atoms (fractional coordinates):
Te 0.500 0.667 0.333
Te 0.500 0.333 0.667
Sm 0.000 0.000 0.596
Sm 0.000 0.596 0.000
Sm 0.000 0.404 0.404
Co 0.000 0.001 0.001
Dy 0.500 0.233 0.000
Dy 0.500 0.000 0.233
Gd 0.500 0.767 0.767

9.
Gd2Dy4CoTe2 after structural relaxation, computed with PBE.

V ... 26.6 A^3/atom
Electronic total energy ... -5.248 eV/atom

Unit cell a=3.937 b=8.393 c=8.393 alpha=120.33 beta=90.00 gamma=90.00
Atoms (fractional coordinates):
Gd 0.000 0.001 0.599
Gd 0.000 0.599 0.001
Dy 0.500 0.998 0.235
Dy 0.000 0.394 0.394
Dy 0.500 0.765 0.765
Dy 0.500 0.235 0.998
Te 0.500 0.334 0.664
Te 0.500 0.664 0.334
Co 0.000 0.010 0.010

10.
Gd2Dy3TmCoTe2 after structural relaxation, computed with PBE.

V ... 26.6 A^3/atom
Electronic total energy ... -5.227 eV/atom

Unit cell a=3.926 b=8.430 c=8.430 alpha=121.04 beta=90.00 gamma=90.00
Atoms (fractional coordinates):
Te 0.000 0.334 0.661
Te 0.000 0.661 0.334
Dy 0.000 0.993 0.232
Dy 0.000 0.232 0.993
Dy 0.000 0.766 0.766
Tm 0.500 0.386 0.386
Co 0.500 0.034 0.034
Gd 0.500 0.594 0.000
Gd 0.500 0.000 0.594

11.
GdDy3Y2CoTe2 after structural relaxation, computed with PBE.

V ... 26.6 A^3/atom
Electronic total energy ... -5.657 eV/atom

Unit cell a=3.935 b=8.388 c=8.388 alpha=120.00 beta=90.00 gamma=90.00
Atoms (fractional coordinates):
Dy 0.500 0.765 0.999
Dy 0.500 0.999 0.765
Dy 0.500 0.236 0.236
Gd 0.000 0.597 0.597
Y 0.000 0.400 0.000
Y 0.000 0.000 0.400
Co 0.000 0.005 0.005
Te 0.500 0.667 0.332
Te 0.500 0.332 0.667

12.
Gd2Dy3YCoTe2 after structural relaxation, computed with PBE.

V ... 26.7 A^3/atom
Electronic total energy ... -5.458 eV/atom

Unit cell a=3.933 b=8.391 c=8.391 alpha=119.83 beta=90.00 gamma=90.00
Atoms (fractional coordinates):
Te 0.000 0.666 0.334
Te 0.000 0.334 0.666
Dy 0.000 0.000 0.765
Dy 0.000 0.765 0.000
Dy 0.000 0.235 0.235
Y 0.500 0.599 0.599
Co 0.500 0.998 0.998
Gd 0.500 0.000 0.403
Gd 0.500 0.403 0.000